# 1
Computed, not measured: a relaxed Zr2PAu crystal at the PBE-GGA level of DFT.

The structure in extended XYZ format:
```
4
Lattice="-2.2496 2.2496 3.7210 2.2496 -2.2496 3.7210 2.2496 2.2496 -3.7210" Properties=species:S:1:pos:R:3 pbc="T T T"
Zr 2.2496 0.0000 1.8605
Zr 0.0000 2.2496 1.8605
P 0.0000 0.0000 0.0000
Au 0.0000 0.0000 3.7210
```

Values from the calculation:
For the formation enthalpy at 0 K, the calculation gives -0.615 eV/atom. The value obtained for the volume is 75.3 Å³ per cell.

=====

# 2
Computed, not measured: a relaxed Zr2PAu crystal at the PBE-GGA level of DFT.

The structure in extended XYZ format:
```
4
Lattice="2.0127 -2.4551 0.0000 2.0127 2.4551 0.0000 0.0000 0.0000 7.6244" Properties=species:S:1:pos:R:3 pbc="T T T"
Zr 0.0000 0.0000 1.7036
Zr 0.0000 0.0000 5.9208
P 2.0127 0.0000 0.0000
Au 2.0127 0.0000 3.8122
```

Values from the calculation:
For the formation enthalpy at 0 K, the calculation gives -0.700 eV/atom. The value obtained for the volume is 75.3 Å³ per cell.